# Al2CuTe, optimized geometry, DFT PBE-GGA
data_Al2CuTe
_chemical_formula_sum 'Al4 Cu2 Te2'
_symmetry_space_group_name_H-M 'I m m 2'
_symmetry_Int_Tables_number 44
_symmetry_space_group_name_Hall 'I 2 -2'
_cell_length_a 3.752
_cell_length_b 5.102
_cell_length_c 8.138
_cell_angle_alpha 90.00
_cell_angle_beta 90.00
_cell_angle_gamma 90.00
loop_
_atom_site_label
_atom_site_fract_x
_atom_site_fract_y
_atom_site_fract_z
_atom_site_occupancy
Al1 0.000 0.000 0.000 1
Al2 0.000 0.500 0.245 1
Cu1 0.000 0.500 0.714 1
Te1 0.000 0.000 0.465 1
# **Density**: 5225 kg/m3
# **ΔE_f (raw)**: 242 meV per atom
# **V**: 19.5 Å³/atom
# **Magnetic moment**: 0.0 Bohr magnetons per cell